(1)
# PBE Ca6ZnNi2, optimized geometry
data_Ca6ZnNi2
_symmetry_space_group_name_H-M 'P 1'
_symmetry_Int_Tables_number 1
_cell_length_a 8.720
_cell_length_b 8.720
_cell_length_c 8.720
_cell_angle_alpha 105.23
_cell_angle_beta 110.93
_cell_angle_gamma 112.34
loop_
_symmetry_equiv_pos_as_xyz
'x,y,z'
loop_
_atom_site_label
_atom_site_type_symbol
_atom_site_fract_x
_atom_site_fract_y
_atom_site_fract_z
Ca1 Ca 0.530 0.711 0.819
Ca2 Ca 0.470 0.289 0.181
Ca3 Ca 0.107 0.289 0.819
Ca4 Ca 0.893 0.711 0.181
Ca5 Ca 0.799 0.771 0.570
Ca6 Ca 0.201 0.229 0.430
Ca7 Ca 0.201 0.771 0.973
Ca8 Ca 0.799 0.229 0.027
Ca9 Ca 0.693 0.369 0.676
Ca10 Ca 0.307 0.631 0.324
Ca11 Ca 0.307 0.983 0.676
Ca12 Ca 0.693 0.017 0.324
Zn1 Zn 0.000 0.500 0.500
Zn2 Zn 0.000 0.000 0.000
Ni1 Ni 0.500 0.389 0.889
Ni2 Ni 0.500 0.611 0.111
Ni3 Ni 0.623 0.000 0.623
Ni4 Ni 0.377 0.000 0.377
# N(E_F) = 13.76 states/eV/cell
# Energy of formation from the pure elements = -0.116 eV per atom
# Symmetry = Immm

(2)
# PBE Ca2Zn2Ni, optimized geometry
data_Ca2Zn2Ni
_symmetry_space_group_name_H-M 'P 1'
_symmetry_Int_Tables_number 1
_cell_length_a 6.785
_cell_length_b 6.785
_cell_length_c 4.718
_cell_angle_alpha 90.00
_cell_angle_beta 90.00
_cell_angle_gamma 90.00
loop_
_symmetry_equiv_pos_as_xyz
'x,y,z'
loop_
_atom_site_label
_atom_site_type_symbol
_atom_site_fract_x
_atom_site_fract_y
_atom_site_fract_z
Ni1 Ni 0.000 0.000 0.000
Ni2 Ni 0.500 0.500 0.000
Zn1 Zn 0.366 0.866 0.000
Zn2 Zn 0.866 0.634 0.000
Zn3 Zn 0.634 0.134 0.000
Zn4 Zn 0.134 0.366 0.000
Ca1 Ca 0.182 0.682 0.500
Ca2 Ca 0.682 0.818 0.500
Ca3 Ca 0.818 0.318 0.500
Ca4 Ca 0.318 0.182 0.500
# N(E_F) = 6.45 states/eV/cell
# Energy of formation from the pure elements = -0.086 eV per atom
# Energy above the most stable polymorph in this dataset = 0.1696 eV/atom
# Symmetry = P4/mbm

(3)
# PBE Ca2ZrNi, optimized geometry
data_Ca2ZrNi
_symmetry_space_group_name_H-M 'P 1'
_symmetry_Int_Tables_number 1
_cell_length_a 6.390
_cell_length_b 6.390
_cell_length_c 6.390
_cell_angle_alpha 148.48
_cell_angle_beta 129.17
_cell_angle_gamma 61.05
loop_
_symmetry_equiv_pos_as_xyz
'x,y,z'
loop_
_atom_site_label
_atom_site_type_symbol
_atom_site_fract_x
_atom_site_fract_y
_atom_site_fract_z
Ni1 Ni 0.480 0.480 0.000
Ca1 Ca 0.004 0.004 0.000
Ca2 Ca 0.699 0.199 0.500
Zr1 Zr 0.318 0.818 0.500
# N(E_F) = 4.99 states/eV/cell
# Energy of formation from the pure elements = 0.107 eV per atom
# Energy above the most stable polymorph in this dataset = 0.1384 eV/atom
# Symmetry = Imm2

(4)
# PBE Ca2ZrNi, optimized geometry
data_Ca2ZrNi
_symmetry_space_group_name_H-M 'P 1'
_symmetry_Int_Tables_number 1
_cell_length_a 8.950
_cell_length_b 8.950
_cell_length_c 8.950
_cell_angle_alpha 158.41
_cell_angle_beta 154.47
_cell_angle_gamma 33.68
loop_
_symmetry_equiv_pos_as_xyz
'x,y,z'
loop_
_atom_site_label
_atom_site_type_symbol
_atom_site_fract_x
_atom_site_fract_y
_atom_site_fract_z
Ni1 Ni 0.750 0.250 0.500
Ca1 Ca 0.909 0.909 0.000
Ca2 Ca 0.591 0.591 0.000
Zr1 Zr 0.250 0.750 0.500
# N(E_F) = 4.92 states/eV/cell
# Energy of formation from the pure elements = 0.094 eV per atom
# Energy above the most stable polymorph in this dataset = 0.1252 eV/atom
# Symmetry = Immm

(5)
# PBE Ca2ZrNi, optimized geometry
data_Ca2ZrNi
_symmetry_space_group_name_H-M 'P 1'
_symmetry_Int_Tables_number 1
_cell_length_a 9.986
_cell_length_b 9.986
_cell_length_c 7.474
_cell_angle_alpha 48.08
_cell_angle_beta 48.08
_cell_angle_gamma 90.00
loop_
_symmetry_equiv_pos_as_xyz
'x,y,z'
loop_
_atom_site_label
_atom_site_type_symbol
_atom_site_fract_x
_atom_site_fract_y
_atom_site_fract_z
Ni1 Ni 0.500 0.500 0.000
Ni2 Ni 0.250 0.750 0.500
Ca1 Ca 0.492 0.125 0.250
Ca2 Ca 0.258 0.625 0.250
Ca3 Ca 0.375 0.508 0.750
Ca4 Ca 0.875 0.742 0.750
Zr1 Zr 0.000 0.000 0.000
Zr2 Zr 0.750 0.250 0.500
# N(E_F) = 8.12 states/eV/cell
# Energy of formation from the pure elements = 0.400 eV per atom
# Energy above the most stable polymorph in this dataset = 0.4306 eV/atom
# Symmetry = I-42d

(6)
# PBE CaZr2Ni2, optimized geometry
data_CaZr2Ni2
_symmetry_space_group_name_H-M 'P 1'
_symmetry_Int_Tables_number 1
_cell_length_a 4.696
_cell_length_b 4.696
_cell_length_c 6.054
_cell_angle_alpha 67.18
_cell_angle_beta 67.18
_cell_angle_gamma 90.00
loop_
_symmetry_equiv_pos_as_xyz
'x,y,z'
loop_
_atom_site_label
_atom_site_type_symbol
_atom_site_fract_x
_atom_site_fract_y
_atom_site_fract_z
Ni1 Ni 0.750 0.250 0.500
Ni2 Ni 0.250 0.750 0.500
Ca1 Ca 0.000 0.000 0.000
Zr1 Zr 0.346 0.346 0.308
Zr2 Zr 0.654 0.654 0.692
# N(E_F) = 5.10 states/eV/cell
# Energy of formation from the pure elements = 0.091 eV per atom
# Energy above the most stable polymorph in this dataset = 0.2568 eV/atom
# Symmetry = I4/mmm

(7)
# PBE CaZr2Ni2, optimized geometry
data_CaZr2Ni2
_symmetry_space_group_name_H-M 'P 1'
_symmetry_Int_Tables_number 1
_cell_length_a 7.911
_cell_length_b 7.911
_cell_length_c 3.021
_cell_angle_alpha 90.00
_cell_angle_beta 90.00
_cell_angle_gamma 90.00
loop_
_symmetry_equiv_pos_as_xyz
'x,y,z'
loop_
_atom_site_label
_atom_site_type_symbol
_atom_site_fract_x
_atom_site_fract_y
_atom_site_fract_z
Ni1 Ni 0.146 0.646 0.500
Ni2 Ni 0.646 0.854 0.500
Ni3 Ni 0.854 0.354 0.500
Ni4 Ni 0.354 0.146 0.500
Ca1 Ca 0.000 0.000 0.000
Ca2 Ca 0.500 0.500 0.000
Zr1 Zr 0.354 0.854 0.000
Zr2 Zr 0.854 0.646 0.000
Zr3 Zr 0.646 0.146 0.000
Zr4 Zr 0.146 0.354 0.000
# N(E_F) = 9.86 states/eV/cell
# Energy of formation from the pure elements = -0.076 eV per atom
# Energy above the most stable polymorph in this dataset = 0.0896 eV/atom
# Symmetry = P4/mbm

(8)
# PBE Ca2ZrNi, optimized geometry
data_Ca2ZrNi
_symmetry_space_group_name_H-M 'P 1'
_symmetry_Int_Tables_number 1
_cell_length_a 5.715
_cell_length_b 5.715
_cell_length_c 3.295
_cell_angle_alpha 90.01
_cell_angle_beta 90.01
_cell_angle_gamma 114.56
loop_
_symmetry_equiv_pos_as_xyz
'x,y,z'
loop_
_atom_site_label
_atom_site_type_symbol
_atom_site_fract_x
_atom_site_fract_y
_atom_site_fract_z
Ni1 Ni 0.500 0.000 0.500
Ca1 Ca 0.000 0.000 0.000
Ca2 Ca 0.500 0.500 0.000
Zr1 Zr 0.000 0.500 0.500
# N(E_F) = 5.62 states/eV/cell
# Energy of formation from the pure elements = 0.491 eV per atom
# Energy above the most stable polymorph in this dataset = 0.5219 eV/atom
# Symmetry = Cmmm

(9)
# PBE CaZrNi, optimized geometry
data_CaZrNi
_symmetry_space_group_name_H-M 'P 1'
_symmetry_Int_Tables_number 1
_cell_length_a 4.604
_cell_length_b 4.604
_cell_length_c 4.604
_cell_angle_alpha 60.00
_cell_angle_beta 60.00
_cell_angle_gamma 60.00
loop_
_symmetry_equiv_pos_as_xyz
'x,y,z'
loop_
_atom_site_label
_atom_site_type_symbol
_atom_site_fract_x
_atom_site_fract_y
_atom_site_fract_z
Ni1 Ni 0.250 0.250 0.250
Ca1 Ca 0.500 0.500 0.500
Zr1 Zr 0.000 0.000 0.000
# N(E_F) = 3.43 states/eV/cell
# Energy of formation from the pure elements = 0.235 eV per atom
# Energy above the most stable polymorph in this dataset = 0.4326 eV/atom
# Symmetry = F-43m

(10)
# PBE CaZrNi, optimized geometry
data_CaZrNi
_symmetry_space_group_name_H-M 'P 1'
_symmetry_Int_Tables_number 1
_cell_length_a 4.225
_cell_length_b 4.225
_cell_length_c 4.780
_cell_angle_alpha 90.00
_cell_angle_beta 90.00
_cell_angle_gamma 120.00
loop_
_symmetry_equiv_pos_as_xyz
'x,y,z'
loop_
_atom_site_label
_atom_site_type_symbol
_atom_site_fract_x
_atom_site_fract_y
_atom_site_fract_z
Ni1 Ni 0.667 0.333 0.443
Ca1 Ca 0.000 0.000 0.026
Zr1 Zr 0.333 0.667 0.531
# N(E_F) = 3.21 states/eV/cell
# Energy of formation from the pure elements = 0.187 eV per atom
# Energy above the most stable polymorph in this dataset = 0.3842 eV/atom
# Symmetry = P3m1

(11)
# PBE Ca4ZrNi, optimized geometry
data_Ca4ZrNi
_symmetry_space_group_name_H-M 'P 1'
_symmetry_Int_Tables_number 1
_cell_length_a 6.463
_cell_length_b 6.463
_cell_length_c 6.463
_cell_angle_alpha 60.00
_cell_angle_beta 60.00
_cell_angle_gamma 60.00
loop_
_symmetry_equiv_pos_as_xyz
'x,y,z'
loop_
_atom_site_label
_atom_site_type_symbol
_atom_site_fract_x
_atom_site_fract_y
_atom_site_fract_z
Ca1 Ca 0.876 0.375 0.375
Ca2 Ca 0.375 0.375 0.876
Ca3 Ca 0.375 0.876 0.375
Ca4 Ca 0.375 0.375 0.375
Zr1 Zr 0.000 0.000 0.000
Ni1 Ni 0.750 0.750 0.750
# N(E_F) = 10.67 states/eV/cell
# Energy of formation from the pure elements = 0.914 eV per atom
# Symmetry = F-43m

(12)
# PBE CaZr3Ni, optimized geometry
data_CaZr3Ni
_symmetry_space_group_name_H-M 'P 1'
_symmetry_Int_Tables_number 1
_cell_length_a 4.976
_cell_length_b 4.976
_cell_length_c 4.976
_cell_angle_alpha 90.00
_cell_angle_beta 90.00
_cell_angle_gamma 90.00
loop_
_symmetry_equiv_pos_as_xyz
'x,y,z'
loop_
_atom_site_label
_atom_site_type_symbol
_atom_site_fract_x
_atom_site_fract_y
_atom_site_fract_z
Ni1 Ni 0.500 0.500 0.500
Ca1 Ca 0.000 0.000 0.000
Zr1 Zr 0.000 0.500 0.000
Zr2 Zr 0.000 0.000 0.500
Zr3 Zr 0.500 0.000 0.000
# N(E_F) = 4.26 states/eV/cell
# Energy of formation from the pure elements = 1.889 eV per atom
# Energy above the most stable polymorph in this dataset = 1.6477 eV/atom
# Symmetry = Pm-3m

(13)
# PBE Ca2ZrNi, optimized geometry
data_Ca2ZrNi
_symmetry_space_group_name_H-M 'P 1'
_symmetry_Int_Tables_number 1
_cell_length_a 4.621
_cell_length_b 3.494
_cell_length_c 6.490
_cell_angle_alpha 69.39
_cell_angle_beta 90.00
_cell_angle_gamma 90.00
loop_
_symmetry_equiv_pos_as_xyz
'x,y,z'
loop_
_atom_site_label
_atom_site_type_symbol
_atom_site_fract_x
_atom_site_fract_y
_atom_site_fract_z
Ni1 Ni 0.500 0.250 0.250
Ca1 Ca 0.000 0.076 0.023
Ca2 Ca 0.000 0.424 0.477
Zr1 Zr 0.500 0.750 0.750
# N(E_F) = 5.41 states/eV/cell
# Energy of formation from the pure elements = 0.417 eV per atom
# Energy above the most stable polymorph in this dataset = 0.4479 eV/atom
# Symmetry = P2/m

(14)
# PBE CaZrNi, optimized geometry
data_CaZrNi
_symmetry_space_group_name_H-M 'P 1'
_symmetry_Int_Tables_number 1
_cell_length_a 3.684
_cell_length_b 3.684
_cell_length_c 6.440
_cell_angle_alpha 90.00
_cell_angle_beta 90.00
_cell_angle_gamma 120.00
loop_
_symmetry_equiv_pos_as_xyz
'x,y,z'
loop_
_atom_site_label
_atom_site_type_symbol
_atom_site_fract_x
_atom_site_fract_y
_atom_site_fract_z
Ni1 Ni 0.667 0.333 0.369
Ca1 Ca 0.000 0.000 0.061
Zr1 Zr 0.333 0.667 0.571
# N(E_F) = 2.72 states/eV/cell
# Energy of formation from the pure elements = 0.109 eV per atom
# Energy above the most stable polymorph in this dataset = 0.3063 eV/atom
# Symmetry = P3m1

(15)
# PBE Ca2Zr2Ni15, optimized geometry
data_Ca2Zr2Ni15
_symmetry_space_group_name_H-M 'P 1'
_symmetry_Int_Tables_number 1
_cell_length_a 6.451
_cell_length_b 6.451
_cell_length_c 6.451
_cell_angle_alpha 82.53
_cell_angle_beta 82.53
_cell_angle_gamma 82.53
loop_
_symmetry_equiv_pos_as_xyz
'x,y,z'
loop_
_atom_site_label
_atom_site_type_symbol
_atom_site_fract_x
_atom_site_fract_y
_atom_site_fract_z
Ca1 Ca 0.359 0.359 0.359
Ca2 Ca 0.641 0.641 0.641
Zr1 Zr 0.111 0.111 0.111
Zr2 Zr 0.889 0.889 0.889
Ni1 Ni 0.500 0.000 0.000
Ni2 Ni 0.000 0.000 0.500
Ni3 Ni 0.000 0.500 0.000
Ni4 Ni 0.000 0.703 0.297
Ni5 Ni 0.703 0.297 0.000
Ni6 Ni 0.297 0.000 0.703
Ni7 Ni 0.297 0.703 0.000
Ni8 Ni 0.703 0.000 0.297
Ni9 Ni 0.000 0.297 0.703
Ni10 Ni 0.158 0.655 0.655
Ni11 Ni 0.655 0.655 0.158
Ni12 Ni 0.655 0.158 0.655
Ni13 Ni 0.842 0.345 0.345
Ni14 Ni 0.345 0.345 0.842
Ni15 Ni 0.345 0.842 0.345
# N(E_F) = 26.59 states/eV/cell
# Energy of formation from the pure elements = -0.163 eV per atom
# Symmetry = R-3m

(16)
# PBE Ca2ZrNi, optimized geometry
data_Ca2ZrNi
_symmetry_space_group_name_H-M 'P 1'
_symmetry_Int_Tables_number 1
_cell_length_a 10.088
_cell_length_b 10.088
_cell_length_c 10.088
_cell_angle_alpha 19.53
_cell_angle_beta 19.53
_cell_angle_gamma 19.53
loop_
_symmetry_equiv_pos_as_xyz
'x,y,z'
loop_
_atom_site_label
_atom_site_type_symbol
_atom_site_fract_x
_atom_site_fract_y
_atom_site_fract_z
Ni1 Ni 0.250 0.250 0.250
Ca1 Ca 0.983 0.983 0.983
Ca2 Ca 0.517 0.517 0.517
Zr1 Zr 0.750 0.750 0.750
# N(E_F) = 5.63 states/eV/cell
# Energy of formation from the pure elements = 0.344 eV per atom
# Energy above the most stable polymorph in this dataset = 0.3750 eV/atom
# Symmetry = R-3m

(17)
# PBE CaZrNi, optimized geometry
data_CaZrNi
_symmetry_space_group_name_H-M 'P 1'
_symmetry_Int_Tables_number 1
_cell_length_a 3.479
_cell_length_b 3.901
_cell_length_c 10.857
_cell_angle_alpha 90.00
_cell_angle_beta 99.02
_cell_angle_gamma 90.00
loop_
_symmetry_equiv_pos_as_xyz
'x,y,z'
loop_
_atom_site_label
_atom_site_type_symbol
_atom_site_fract_x
_atom_site_fract_y
_atom_site_fract_z
Ni1 Ni 0.962 0.250 0.921
Ni2 Ni 0.038 0.750 0.079
Ca1 Ca 0.821 0.250 0.640
Ca2 Ca 0.179 0.750 0.360
Zr1 Zr 0.562 0.250 0.126
Zr2 Zr 0.438 0.750 0.874
# N(E_F) = 4.39 states/eV/cell
# Energy of formation from the pure elements = -0.197 eV per atom
# Energy above the most stable polymorph in this dataset = 0.0000 eV/atom
# Symmetry = P2_1/m

(18)
# PBE CaZrNi, optimized geometry
data_CaZrNi
_symmetry_space_group_name_H-M 'P 1'
_symmetry_Int_Tables_number 1
_cell_length_a 6.589
_cell_length_b 6.588
_cell_length_c 3.346
_cell_angle_alpha 75.30
_cell_angle_beta 75.28
_cell_angle_gamma 29.42
loop_
_symmetry_equiv_pos_as_xyz
'x,y,z'
loop_
_atom_site_label
_atom_site_type_symbol
_atom_site_fract_x
_atom_site_fract_y
_atom_site_fract_z
Ni1 Ni 0.305 0.305 0.695
Ca1 Ca 0.982 0.982 0.018
Zr1 Zr 0.713 0.713 0.287
# N(E_F) = 3.92 states/eV/cell
# Energy of formation from the pure elements = -0.060 eV per atom
# Energy above the most stable polymorph in this dataset = 0.1372 eV/atom
# Symmetry = I4mm

(19)
# PBE CaZrNi, optimized geometry
data_CaZrNi
_symmetry_space_group_name_H-M 'P 1'
_symmetry_Int_Tables_number 1
_cell_length_a 3.549
_cell_length_b 12.323
_cell_length_c 6.319
_cell_angle_alpha 90.00
_cell_angle_beta 90.00
_cell_angle_gamma 90.00
loop_
_symmetry_equiv_pos_as_xyz
'x,y,z'
loop_
_atom_site_label
_atom_site_type_symbol
_atom_site_fract_x
_atom_site_fract_y
_atom_site_fract_z
Ni1 Ni 0.000 0.911 0.564
Ni2 Ni 0.000 0.089 0.064
Ni3 Ni 0.500 0.411 0.564
Ni4 Ni 0.500 0.589 0.064
Ca1 Ca 0.000 0.789 0.130
Ca2 Ca 0.000 0.211 0.630
Ca3 Ca 0.500 0.289 0.130
Ca4 Ca 0.500 0.711 0.630
Zr1 Zr 0.000 0.485 0.829
Zr2 Zr 0.000 0.515 0.329
Zr3 Zr 0.500 0.985 0.829
Zr4 Zr 0.500 0.015 0.329
# N(E_F) = 11.19 states/eV/cell
# Energy of formation from the pure elements = -0.123 eV per atom
# Energy above the most stable polymorph in this dataset = 0.0747 eV/atom
# Symmetry = Cmc2_1

(20)
# PBE Ca2ZrNi, optimized geometry
data_Ca2ZrNi
_symmetry_space_group_name_H-M 'P 1'
_symmetry_Int_Tables_number 1
_cell_length_a 5.208
_cell_length_b 5.208
_cell_length_c 5.208
_cell_angle_alpha 60.00
_cell_angle_beta 60.00
_cell_angle_gamma 60.00
loop_
_symmetry_equiv_pos_as_xyz
'x,y,z'
loop_
_atom_site_label
_atom_site_type_symbol
_atom_site_fract_x
_atom_site_fract_y
_atom_site_fract_z
Ni1 Ni 0.000 0.000 0.000
Ca1 Ca 0.250 0.250 0.250
Ca2 Ca 0.750 0.750 0.750
Zr1 Zr 0.500 0.500 0.500
# N(E_F) = 11.09 states/eV/cell
# Energy of formation from the pure elements = 0.624 eV per atom
# Energy above the most stable polymorph in this dataset = 0.6554 eV/atom
# Symmetry = Fm-3m